First-principles (GGA-PBE) data for a geometry-optimized HfBiSeBr2 structure, as listed in Alexandria.

Cell and atoms, written as POSCAR:
```
HfBiSeBr2
1.0
5.6400 0.0000 0.0000
0.0000 5.6400 0.0000
0.0000 0.0000 5.6709
Hf Bi Se Br
1 1 1 2
Cartesian
0.0000 0.0000 0.0000
2.8200 2.8200 2.8355
2.8200 2.8200 0.0000
0.0000 2.8200 2.8355
2.8200 0.0000 2.8355
```

Properties
- Raw formation energy: 612.8 meV per atom
- Theoretical density: 5.76 Mg/m³
- Total moment: 1.869 μB/f.u.
- Total DFT energy (no corrections): -17.60 eV for the cell shown
- Volume: 36.08 Å³ per atom
- Density of states at the Fermi level: 1.39 states/eV per atom